Entry 1:
TaCd2Cu | the Alexandria database | GGA-PBEsol | relaxed; DFT formation energy = 360 meV per atom; final energy = -4.460 eV per atom; crystal system = tetragonal
1.0
4.011 0.000 0.000
0.000 4.011 0.000
0.000 0.000 4.238
Ta Cd Cu
1 2 1
Direct
0.000 0.000 0.000
0.000 0.500 0.500
0.500 0.000 0.500
0.500 0.500 0.000

Entry 2:
Ta2CdCu | the Alexandria database | GGA-PBEsol | relaxed; DFT formation energy = 263 meV per atom; final energy = -7.395 eV per atom; crystal system = monoclinic
1.0
4.999 -1.451 0.000
4.999 1.451 0.000
-1.972 0.000 4.587
Ta Cd Cu
2 1 1
Direct
0.000 0.000 0.000
0.246 0.246 0.870
0.772 0.772 0.391
0.515 0.515 0.494

Entry 3:
Tb2CdCu2 | the Alexandria database | GGA-PBEsol | relaxed; DFT formation energy = -301 meV per atom; final energy = -4.278 eV per atom; crystal system = tetragonal
1.0
7.470 0.000 0.000
0.000 7.470 0.000
0.000 0.000 3.616
Tb Cd Cu
4 2 4
Direct
0.174 0.326 0.000
0.326 0.826 0.000
0.674 0.174 0.000
0.826 0.674 0.000
0.000 0.000 0.500
0.500 0.500 0.500
0.120 0.620 0.500
0.380 0.120 0.500
0.620 0.880 0.500
0.880 0.380 0.500